(1)
Entry from the Alexandria database: a relaxed NdEr2Se crystal (PBE-GGA).

Unit cell a=3.7691 b=3.7691 c=9.7942 alpha=78.91 beta=78.91 gamma=60.00
Last column: nearest neighbours and their distance in Å.
Sites, in units of the cell vectors:
Nd 0.4997 0.4997 0.5010  6 Er 3.64-3.66, 6 Nd 3.77
Er 0.2690 0.2690 0.1929  3 Se 2.85
Se 0.6667 0.6667 0.9998  6 Er 2.85-2.86
Er 0.0646 0.0646 0.8062  3 Se 2.86

## Properties
Total energy: -5.14 eV per atom

(2)
Entry from the Alexandria database: a relaxed Ti12Tl3Ga crystal (PBE-GGA).

Unit cell a=4.1440 b=4.1440 c=16.5338 alpha=90.00 beta=90.00 gamma=90.00
Last column: nearest neighbours and their distance in Å.
Sites, in units of the cell vectors:
Ti 0.5000 0.5000 0.7545  4 Tl 2.93, 8 Ti 2.95-2.98
Ti 0.0000 0.5000 0.1161  8 Ti 2.82-2.98, 2 Ga 2.82, 2 Tl 2.97
Ti 0.5000 0.5000 0.0000  8 Ti 2.82, 4 Ga 2.93
Ti 0.5000 0.0000 0.1161  2 Ga 2.82, 8 Ti 2.82-2.98, 2 Tl 2.97
Ti 0.0000 0.5000 0.3724  8 Ti 2.93-2.96, 4 Tl 2.96
Ti 0.0000 0.5000 0.8839  8 Ti 2.82-2.98, 2 Ga 2.82, 2 Tl 2.97
Ga 0.0000 0.0000 0.0000  12 Ti 2.82-2.93
Ti 0.5000 0.5000 0.2455  4 Tl 2.93, 8 Ti 2.95-2.98
Ti 0.5000 0.0000 0.3724  8 Ti 2.93-2.96, 4 Tl 2.96
Tl 0.0000 0.0000 0.5000  12 Ti 2.93-2.96
Tl 0.0000 0.0000 0.2448  12 Ti 2.93-2.97
Ti 0.5000 0.0000 0.6276  8 Ti 2.93-2.96, 4 Tl 2.96
Ti 0.5000 0.0000 0.8839  2 Ga 2.82, 8 Ti 2.82-2.98, 2 Tl 2.97
Tl 0.0000 0.0000 0.7552  12 Ti 2.93-2.97
Ti 0.0000 0.5000 0.6276  8 Ti 2.93-2.96, 4 Tl 2.96
Ti 0.5000 0.5000 0.5000  4 Tl 2.93, 8 Ti 2.96

## Properties
Total energy: -6.61 eV per atom

(3)
Entry from the Alexandria database: a relaxed In12P5I3 crystal (PBE-GGA).

Unit cell a=15.2545 b=15.2545 c=15.2545 alpha=109.47 beta=109.47 gamma=109.47
Last column: nearest neighbours and their distance in Å.
Sites, in units of the cell vectors:
In 0.3777 0.9690 0.7940  2 P 2.69-2.84
In 0.0836 0.9086 0.3777  2 P 2.69-2.84
In 0.4086 0.3777 0.5836  2 P 2.69-2.84
In 0.9690 0.5914 0.1750  2 P 2.69-2.84
In 0.2940 0.8777 0.9690  2 P 2.69-2.84
In 0.7940 0.4690 0.3777  2 P 2.69-2.84
P 0.1250 0.3750 0.2500  4 In 2.69
In 0.9164 0.0914 0.6223  2 P 2.69-2.84
P 0.2500 0.8750 0.1250  4 In 2.69
I 0.8750 0.1250 0.2500  8 In 3.36-3.45
P 0.3750 0.2500 0.1250  4 In 2.69
I 0.1250 0.2500 0.8750  8 In 3.36-3.45
P 0.0000 0.5000 0.5000  6 In 2.84
In 0.8250 0.9086 0.0310  2 P 2.69-2.84
In 0.9086 0.0836 0.8777  2 P 2.69-2.84
I 0.2500 0.1250 0.3750  8 In 3.36-3.45
P 0.6250 0.8750 0.2500  4 In 2.69
P 0.1250 0.7500 0.3750  4 In 2.69
P 0.0000 0.0000 0.0000  6 In 2.84
In 0.7940 0.3250 0.9164  2 P 2.69-2.84
In 0.4690 0.6750 0.0914  2 P 2.69-2.84
I 0.3750 0.6250 0.2500  8 In 3.36-3.45
I 0.2500 0.6250 0.8750  8 In 3.36-3.45
In 0.5310 0.3250 0.9086  2 P 2.69-2.84
In 0.3250 0.5310 0.4086  2 P 2.69-2.84
P 0.0000 0.5000 0.0000  6 In 2.84
In 0.5836 0.8777 0.4086  2 P 2.69-2.84
In 0.7060 0.1223 0.0310  2 P 2.69-2.84
I 0.1250 0.8750 0.7500  8 In 3.36-3.45
In 0.5914 0.9690 0.6750  2 P 2.69-2.84
In 0.0836 0.1750 0.2060  2 P 2.69-2.84
In 0.4086 0.0310 0.3250  2 P 2.69-2.84
In 0.0310 0.6223 0.7060  2 P 2.69-2.84
P 0.6250 0.7500 0.8750  4 In 2.69
In 0.9086 0.8250 0.5310  2 P 2.69-2.84
In 0.5310 0.2060 0.1223  2 P 2.69-2.84
I 0.7500 0.8750 0.6250  8 In 3.36-3.45
P 0.8750 0.6250 0.7500  4 In 2.69
In 0.2060 0.5310 0.6223  2 P 2.69-2.84
In 0.8250 0.9164 0.2940  2 P 2.69-2.84
In 0.0914 0.1750 0.4690  2 P 2.69-2.84
In 0.1223 0.4164 0.0914  2 P 2.69-2.84
In 0.6223 0.0310 0.2060  2 P 2.69-2.84
P 0.7500 0.6250 0.3750  4 In 2.69
In 0.2060 0.6750 0.0836  2 P 2.69-2.84
In 0.6750 0.2060 0.5836  2 P 2.69-2.84
I 0.6250 0.2500 0.3750  8 In 3.36-3.45
I 0.7500 0.3750 0.1250  8 In 3.36-3.45
In 0.4164 0.2940 0.3250  2 P 2.69-2.84
In 0.8777 0.2940 0.4690  2 P 2.69-2.84
I 0.3750 0.7500 0.6250  8 In 3.36-3.45
In 0.2940 0.4164 0.8250  2 P 2.69-2.84
P 0.8750 0.2500 0.6250  4 In 2.69
In 0.8777 0.5836 0.9086  2 P 2.69-2.84
In 0.7060 0.5836 0.1750  2 P 2.69-2.84
In 0.9164 0.8250 0.7940  2 P 2.69-2.84
In 0.6750 0.4690 0.5914  2 P 2.69-2.84
In 0.3777 0.4086 0.0836  2 P 2.69-2.84
P 0.5000 0.0000 0.5000  6 In 2.84
P 0.3750 0.1250 0.7500  4 In 2.69
In 0.5914 0.6223 0.4164  2 P 2.69-2.84
P 0.0000 0.0000 0.5000  6 In 2.84
P 0.5000 0.5000 0.0000  6 In 2.84
In 0.4690 0.7940 0.8777  2 P 2.69-2.84
In 0.0914 0.9164 0.1223  2 P 2.69-2.84
In 0.6223 0.5914 0.9164  2 P 2.69-2.84
In 0.1223 0.7060 0.5310  2 P 2.69-2.84
P 0.2500 0.3750 0.6250  4 In 2.69
In 0.1750 0.0836 0.7060  2 P 2.69-2.84
In 0.0310 0.4086 0.8250  2 P 2.69-2.84
I 0.6250 0.3750 0.7500  8 In 3.36-3.45
In 0.9690 0.3777 0.2940  2 P 2.69-2.84
In 0.4164 0.1223 0.5914  2 P 2.69-2.84
I 0.8750 0.7500 0.1250  8 In 3.36-3.45
In 0.3250 0.7940 0.4164  2 P 2.69-2.84
P 0.5000 0.5000 0.5000  6 In 2.84
In 0.5836 0.7060 0.6750  2 P 2.69-2.84
P 0.5000 0.0000 0.0000  6 In 2.84
P 0.7500 0.1250 0.8750  4 In 2.69
In 0.1750 0.0914 0.9690  2 P 2.69-2.84

## Properties
Total energy: -3.06 eV per atom

(4)
Entry from the Alexandria database: a relaxed Th4TcPtS2 crystal (PBE-GGA).

Unit cell a=4.0922 b=7.5052 c=7.0872 alpha=71.87 beta=90.00 gamma=90.00
Last column: nearest neighbours and their distance in Å.
Sites, in units of the cell vectors:
S 0.5000 0.0000 0.5000  6 Th 2.99-3.01
Th 0.0000 0.7312 0.7440  1 Tc 2.80, 2 Pt 2.92, 3 S 3.01-3.11
Th 0.0000 0.2689 0.2560  1 Tc 2.80, 2 Pt 2.92, 3 S 3.01-3.11
Th 0.5000 0.2684 0.7360  2 Tc 2.86, 1 Pt 2.92, 3 S 2.99-3.07
S 0.0000 0.0000 0.0000  6 Th 3.07-3.11
Tc 0.0000 0.5000 0.5000  6 Th 2.80-2.86
Pt 0.5000 0.5000 0.0000  6 Th 2.92
Th 0.5000 0.7316 0.2640  2 Tc 2.86, 1 Pt 2.92, 3 S 2.99-3.07

## Properties
Total energy: -7.95 eV per atom

(5)
Entry from the Alexandria database: a relaxed YCdNi2Hg crystal (PBE-GGA).

Unit cell a=4.8440 b=5.7266 c=4.8440 alpha=90.00 beta=90.00 gamma=90.00
Last column: nearest neighbours and their distance in Å.
Sites, in units of the cell vectors:
Cd 0.5000 0.5000 0.5000  4 Hg 3.43, 8 Ni 3.75
Y 0.0000 0.0000 0.0000  4 Ni 2.42
Ni 0.0000 0.0000 0.5000  2 Y 2.42
Hg 0.0000 0.5000 0.0000  2 Y 2.86
Ni 0.5000 0.0000 0.0000  2 Y 2.42

## Properties
Total energy: -2.92 eV per atom

(6)
Entry from the Alexandria database: a relaxed Ce3Tl2Cd crystal (PBE-GGA).

Unit cell a=3.4208 b=3.4208 c=14.2910 alpha=90.00 beta=90.00 gamma=90.00
Last column: nearest neighbours and their distance in Å.
Sites, in units of the cell vectors:
Cd 0.5000 0.5000 0.5000  8 Ce 3.37, 4 Cd 3.42
Tl 0.5000 0.5000 0.8318  8 Ce 3.41, 4 Tl 3.42
Ce 0.0000 0.0000 0.6641  4 Cd 3.37, 4 Tl 3.41, 4 Ce 3.42
Tl 0.5000 0.5000 0.1682  8 Ce 3.41, 4 Tl 3.42
Ce 0.0000 0.0000 0.0000  8 Tl 3.41, 4 Ce 3.42
Ce 0.0000 0.0000 0.3359  4 Cd 3.37, 4 Tl 3.41, 4 Ce 3.42

## Properties
Total energy: -4.12 eV per atom

(7)
Entry from the Alexandria database: a relaxed MgAgC3 crystal (PBE-GGA).

Unit cell a=4.1221 b=4.1221 c=4.1221 alpha=90.00 beta=90.00 gamma=90.00
Last column: nearest neighbours and their distance in Å.
Sites, in units of the cell vectors:
C 0.5000 0.0000 0.0000  2 Mg 2.06
Ag 0.5000 0.5000 0.5000  12 C 2.91
C 0.0000 0.0000 0.5000  2 Mg 2.06
Mg 0.0000 0.0000 0.0000  6 C 2.06
C 0.0000 0.5000 0.0000  2 Mg 2.06

## Properties
Total energy: -3.46 eV per atom

(8)
Entry from the Alexandria database: a relaxed ScTcW3 crystal (PBE-GGA).

Unit cell a=4.5313 b=4.5313 c=4.5313 alpha=90.00 beta=90.00 gamma=90.00
Last column: nearest neighbours and their distance in Å.
Sites, in units of the cell vectors:
W 0.0000 0.0000 0.5000  2 Sc 2.27
Sc 0.0000 0.0000 0.0000  6 W 2.27
W 0.5000 0.0000 0.0000  2 Sc 2.27
Tc 0.5000 0.5000 0.5000  12 W 3.20
W 0.0000 0.5000 0.0000  2 Sc 2.27

## Properties
Total energy: -8.56 eV per atom

(9)
Entry from the Alexandria database: a relaxed RbTiSbTe2 crystal (PBE-GGA).

Unit cell a=6.0486 b=6.0486 c=5.8023 alpha=90.00 beta=90.00 gamma=90.00
Last column: nearest neighbours and their distance in Å.
Sites, in units of the cell vectors:
Rb 0.0000 0.0000 0.0000  2 Sb 2.90, 4 Te 3.02
Te 0.0000 0.5000 0.0000  2 Rb 3.02
Ti 0.5000 0.5000 0.5000  8 Te 4.19, 4 Sb 4.28
Sb 0.0000 0.0000 0.5000  2 Rb 2.90
Te 0.5000 0.0000 0.0000  2 Rb 3.02

## Properties
Total energy: -2.34 eV per atom

(10)
Entry from the Alexandria database: a relaxed LiZn2Mo crystal (PBE-GGA).

Unit cell a=4.8764 b=4.8764 c=2.5873 alpha=90.05 beta=90.05 gamma=106.34
Last column: nearest neighbours and their distance in Å.
Sites, in units of the cell vectors:
Li 0.5000 0.0000 0.5000  2 Li 2.59, 8 Zn 2.76
Mo 0.0000 0.5000 0.5000  2 Mo 2.59, 8 Zn 2.76
Zn 0.5000 0.5000 0.0000  2 Zn 2.59, 4 Li 2.76, 4 Mo 2.76
Zn 0.0000 0.0000 0.0000  2 Zn 2.59, 4 Mo 2.76, 4 Li 2.76

## Properties
Total energy: -3.84 eV per atom

(11)
Entry from the Alexandria database: a relaxed CrSb2Se2 crystal (PBE-GGA).

Unit cell a=7.9908 b=7.9908 c=4.1270 alpha=90.00 beta=90.00 gamma=90.00
Last column: nearest neighbours and their distance in Å.
Sites, in units of the cell vectors:
Cr 0.0000 0.0000 0.0000  4 Sb 2.90
Se 0.3472 0.1528 0.5000  2 Sb 2.70
Sb 0.6926 0.1926 0.0000  2 Se 2.70, 2 Cr 2.90
Cr 0.5000 0.5000 0.0000  4 Sb 2.90
Se 0.6528 0.8472 0.5000  2 Sb 2.70
Sb 0.3074 0.8074 0.0000  2 Se 2.70, 2 Cr 2.90
Se 0.1528 0.6528 0.5000  2 Sb 2.70
Sb 0.8074 0.6926 0.0000  2 Se 2.70, 2 Cr 2.90
Sb 0.1926 0.3074 0.0000  2 Se 2.70, 2 Cr 2.90
Se 0.8472 0.3472 0.5000  2 Sb 2.70

## Properties
Total energy: -4.73 eV per atom

(12)
Entry from the Alexandria database: a relaxed HoLuTlCo crystal (PBE-GGA).

Unit cell a=5.0394 b=5.0394 c=5.0394 alpha=60.00 beta=60.00 gamma=60.00
Last column: nearest neighbours and their distance in Å.
Sites, in units of the cell vectors:
Co 0.5000 0.5000 0.5000  4 Ho 3.09, 4 Lu 3.09
Tl 0.0000 0.0000 0.0000  4 Ho 3.09, 4 Lu 3.09
Lu 0.7500 0.7500 0.7500  4 Tl 3.09, 4 Co 3.09
Ho 0.2500 0.2500 0.2500  4 Tl 3.09, 4 Co 3.09

## Properties
Total energy: -4.77 eV per atom

Which of these has the highest total energy?
RbTiSbTe2